[1]
A geometry-optimized CaZrAl4 structure, computed with GGA-PBE.

## Properties
E_form ... -352.3 meV/atom
M_tot ... 0.0 μB per formula unit
Space group ... No. 216

abc: 5.469 5.469 5.469
angles: 60.00 60.00 60.00
Fractional positions:
Al  0.123  0.626  0.626
Al  0.626  0.626  0.626
Al  0.626  0.123  0.626
Al  0.626  0.626  0.123
Ca  0.250  0.250  0.250
Zr  0.000  0.000  0.000

***

[2]
A geometry-optimized RbScC structure, computed with GGA-PBE.

## Properties
E_form ... 530.0 meV/atom
M_tot ... 0.0 μB per formula unit
Space group ... No. 187

abc: 3.826 3.826 6.025
angles: 90.00 90.00 120.00
Fractional positions:
Sc  0.000  0.000  0.000
C  0.333  0.667  0.000
Rb  0.667  0.333  0.500

***

[3]
A geometry-optimized ZrScB structure, computed with GGA-PBE.

## Properties
E_form ... -381.8 meV/atom
M_tot ... 0.0 μB per formula unit
Space group ... No. 12

abc: 5.168 3.208 12.518
angles: 90.00 101.16 90.00
Fractional positions:
Sc  0.707  0.000  0.422
Sc  0.293  0.000  0.578
Sc  0.707  0.500  0.922
Sc  0.293  0.500  0.078
B  0.417  0.000  0.236
B  0.583  0.000  0.764
B  0.417  0.500  0.736
B  0.583  0.500  0.264
Zr  0.830  0.000  0.158
Zr  0.170  0.000  0.842
Zr  0.830  0.500  0.658
Zr  0.170  0.500  0.342

***

[4]
A geometry-optimized Ce3HgIr structure, computed with GGA-PBE.

## Properties
E_form ... -382.4 meV/atom
M_tot ... 2.1 μB per formula unit
Space group ... No. 47

abc: 3.393 9.184 9.184
angles: 64.04 90.00 90.00
Site moments in Bohr magnetons follow the coordinates.
Fractional positions:
Ce  0.000  0.657  0.157  0.57
Ce  0.000  0.843  0.343  0.57
Ce  0.000  0.343  0.843  0.57
Ce  0.000  0.157  0.657  0.57
Ce  0.000  0.750  0.750  0.66
Ce  0.000  0.250  0.250  0.66
Hg  0.500  0.000  0.000  0.00
Hg  0.500  0.500  0.500  0.00
Ir  0.500  0.500  0.000  -0.07
Ir  0.500  0.000  0.500  -0.07

***

[5]
A geometry-optimized NiSb2I structure, computed with GGA-PBE.

## Properties
Energy relative to the elements, uncorrected ... 2.82 eV/f.u.
M_tot ... 0.0 μB per formula unit
Space group ... No. 225

abc: 5.146 5.146 5.146
angles: 60.00 60.00 60.00
Fractional positions:
I  0.500  0.500  0.500
Sb  0.250  0.250  0.250
Sb  0.750  0.750  0.750
Ni  0.000  0.000  0.000

***

[6]
A geometry-optimized Ba2CoAu structure, computed with GGA-PBE.

## Properties
E_form ... 303.9 meV/atom
M_tot ... 0.9 μB per formula unit
Space group ... No. 216

abc: 5.375 5.375 5.375
angles: 60.00 60.00 60.00
Site moments in Bohr magnetons follow the coordinates.
Fractional positions:
Au  0.500  0.500  0.500  -0.02
Ba  0.000  0.000  0.000  -0.12
Ba  0.750  0.750  0.750  -0.10
Co  0.250  0.250  0.250  1.51

***

[7]
A geometry-optimized LiCrAu3 structure, computed with GGA-PBE.

## Properties
E_form ... 350.3 meV/atom
M_tot ... 4.1 μB per formula unit
Space group ... No. 221

abc: 4.473 4.473 4.473
angles: 90.00 90.00 90.00
Site moments in Bohr magnetons follow the coordinates.
Fractional positions:
Cr  0.500  0.500  0.500  3.82
Au  0.000  0.500  0.000  -0.05
Au  0.000  0.000  0.500  -0.08
Au  0.500  0.000  0.000  0.01
Li  0.000  0.000  0.000  -0.03

***

[8]
A geometry-optimized Be2WCl structure, computed with GGA-PBE.

## Properties
Energy relative to the elements, uncorrected ... 3.16 eV/f.u.
M_tot ... 0.0 μB per formula unit
Space group ... No. 10

abc: 2.762 4.746 4.845
angles: 55.58 90.00 90.00
Fractional positions:
Be  0.000  0.000  0.000
Be  0.500  0.500  0.000
W  0.000  0.000  0.500
Cl  0.500  0.500  0.500

***

[9]
A geometry-optimized CsRb2ZrW structure, computed with GGA-PBE.

## Properties
E_form ... 2546.4 meV/atom
M_tot ... 0.1 μB per formula unit
Space group ... No. 123

abc: 6.644 5.824 6.644
angles: 90.00 90.00 90.00
Site moments in Bohr magnetons follow the coordinates.
Fractional positions:
Cs  0.000  0.500  0.000  0.02
Rb  0.000  0.000  0.500  -0.01
Rb  0.500  0.000  0.000  -0.01
Zr  0.500  0.500  0.500  -0.05
W  0.000  0.000  0.000  0.10

***

[10]
A geometry-optimized Cd2PtAu structure, computed with GGA-PBE.

## Properties
E_form ... -238.9 meV/atom
M_tot ... 0.0 μB per formula unit
Space group ... No. 123

abc: 3.082 3.082 7.788
angles: 90.00 90.00 90.00
Fractional positions:
Cd  0.000  0.000  0.761
Cd  0.000  0.000  0.239
Pt  0.500  0.500  0.000
Au  0.500  0.500  0.500

***

[11]
A geometry-optimized Ca4AgHg structure, computed with GGA-PBE.

## Properties
E_form ... -216.9 meV/atom
M_tot ... 0.0 μB per formula unit
Space group ... No. 123

abc: 5.280 5.284 7.403
angles: 89.98 89.98 90.00
Fractional positions:
Ca  0.501  0.997  0.247
Ca  0.501  0.998  0.749
Ca  0.001  0.497  0.749
Ca  0.001  0.497  0.248
Ag  0.501  0.497  0.998
Hg  0.001  0.997  0.498

***

[12]
A geometry-optimized ZrTiPb2 structure, computed with GGA-PBE.

## Properties
E_form ... 72.8 meV/atom
M_tot ... 0.0 μB per formula unit
Space group ... No. 166

abc: 3.298 3.298 9.994
angles: 80.50 80.50 60.00
Fractional positions:
Pb  0.747  0.747  0.760
Pb  0.253  0.253  0.240
Zr  0.500  0.500  0.500
Ti  0.000  0.000  0.000

***

Question: Among the records above, which one has the highest M_tot?
Answer: LiCrAu3

***

Question: Look up the M_tot of the ninth one.
Answer: 0.1 μB per formula unit